This record from Alexandria via LeMat-Bulk describes a relaxed Pr4CoPdCl2 crystal. The functional is PBE.

a = 7.1976 Å, b = 4.0962 Å, c = 7.9138 Å
α = 90.00°, β = 107.68°, γ = 90.00°
Closest atoms and distances in Å follow each position.
Sites, in units of the cell vectors:
Pr 0.2224 0.0000 0.2032  2 Co 2.79, 1 Pd 2.92
Pr 0.2439 0.5000 0.7941  1 Co 2.73, 2 Pd 2.90
Pr 0.7561 0.5000 0.2059  1 Co 2.73, 2 Pd 2.90
Pr 0.7776 0.0000 0.7968  2 Co 2.79, 1 Pd 2.92
Co 0.0000 0.5000 0.0000  6 Pr 2.73-2.79
Pd 0.5000 0.0000 0.0000  6 Pr 2.90-2.92
Cl 0.0000 0.0000 0.5000  6 Pr 3.20-3.22
Cl 0.5000 0.5000 0.5000  6 Pr 3.29-3.38

Computed properties:
Raw formation energy ... -0.964 eV/atom
Fermi-level density of states ... 4.7 states/eV/cell
Space-group type ... No. 10